PBE-GGA Co2HIrPb, optimized geometry; final energy = -5.313 eV/atom
1.0
-0.7584 4.0416 2.3998
1.1254 -1.4928 2.8699
4.4324 1.4239 -0.9974
Ir H Co Pb
1 1 2 1
Cartesian
0.0000 0.0000 0.0000
0.5627 -0.7464 1.4350
-0.3792 2.0208 1.1999
2.2162 0.7120 -0.4987
2.3997 1.9864 2.1361


PBE-GGA Co2HIrPd, optimized geometry; polymorph energy (0 for the lowest one) = 0.0 kJ/mol of atoms
1.0
3.8351 0.0000 0.0000
0.0000 3.8351 0.0000
0.0000 0.0000 3.7403
Co Ir H Pd
2 1 1 1
Cartesian
1.9175 0.0000 0.0000
0.0000 1.9175 0.0000
0.0000 0.0000 1.8701
0.0000 0.0000 0.0000
1.9175 1.9175 1.8701


PBE-GGA Co2HIrPd, optimized geometry; polymorph energy (0 for the lowest one) = 4.4 kJ/mol of atoms
1.0
3.8354 0.0000 0.0000
0.0000 3.8354 0.0000
0.0000 0.0000 3.7225
Ir H Co Pd
1 1 2 1
Cartesian
1.9177 1.9177 1.8612
0.0000 0.0000 0.0000
1.9177 0.0000 0.0000
0.0000 1.9177 0.0000
0.0000 0.0000 1.8612


PBE-GGA Pm2CoH6Ir, optimized geometry; final energy = -4.995 eV/atom
1.0
5.2483 -0.2212 0.0070
-0.2212 5.2483 0.0068
-2.5087 -2.5086 3.5743
H Pm Ir Co
6 2 1 1
Cartesian
2.5151 2.5178 1.8309
-1.5462 1.5586 3.5804
0.0032 0.0059 1.7557
1.2876 1.2904 3.5823
1.2307 1.2334 0.0048
1.5558 -1.5434 3.5806
2.6280 -0.1070 1.7933
-0.1098 2.6308 1.7932
0.0048 0.0076 3.5805
2.7396 -2.7272 3.5806


PBE-GGA Co2HIrPt, optimized geometry; polymorph energy (0 for the lowest one) = 0.0 kJ/mol of atoms
1.0
-0.1161 -3.7846 -0.6604
0.3239 -0.6680 3.7711
-3.7317 0.0568 0.3306
Pt Co Ir H
1 2 1 1
Cartesian
-1.7620 -2.1978 1.7207
0.1619 -0.3340 1.8856
-0.0581 -1.8923 -0.3302
-1.8658 0.0284 0.1653
0.0000 0.0000 0.0000


PBE-GGA CoHIrPt2, optimized geometry; final energy = -6.111 eV/atom
1.0
3.9211 0.0000 0.0000
0.0000 3.9211 0.0000
0.0000 0.0000 3.9151
H Co Pt Ir
1 1 2 1
Cartesian
0.0000 0.0000 0.0000
0.0000 0.0000 1.9575
1.9606 0.0000 0.0000
0.0000 1.9606 0.0000
1.9606 1.9606 1.9575


PBE-GGA Co2HIrPt, optimized geometry; polymorph energy (0 for the lowest one) = 6.0 kJ/mol of atoms
1.0
3.8469 0.0000 0.0000
0.0000 3.8469 0.0000
0.0000 0.0000 3.7397
Co Pt H Ir
2 1 1 1
Cartesian
0.0000 1.9235 0.0000
1.9235 0.0000 0.0000
0.0000 0.0000 1.8698
0.0000 0.0000 0.0000
1.9235 1.9235 1.8698


PBE-GGA Co2ReHIr, optimized geometry; polymorph energy (0 for the lowest one) = 0.0 kJ/mol of atoms
1.0
-2.8201 -1.6352 1.8276
-0.9868 -1.7932 -3.1270
2.2748 -2.8798 0.9336
Ir H Re Co
1 1 1 2
Cartesian
-0.7661 -3.1541 -0.1829
0.0000 0.0000 0.0000
1.1374 -1.4399 0.4668
-0.4934 -0.8966 -1.5635
-1.4101 -0.8176 0.9138